[1]
Entry from Alexandria: a relaxed structure of NdDy3Zn2 (PBE).

Values from the calculation:
density of states at the Fermi level = 5.73 states/eV per cell
DFT total energy = -22.5 eV for the cell shown
mass density = 8.04 g/cm3
E_form = -0.2292 eV/atom

abc: 3.574 3.574 12.321
angles: 90.00 90.00 90.00
Fractional coordinates of all 6 atoms:
Nd1 0.500 0.500 0.500
Dy1 0.000 0.000 0.000
Dy2 0.000 0.000 0.713
Dy3 0.000 0.000 0.287
Zn1 0.500 0.500 0.857
Zn2 0.500 0.500 0.143

=====

[2]
Entry from Alexandria: a relaxed structure of Li4Ru (PBE).

Values from the calculation:
density of states at the Fermi level = 3.61 states/eV per cell
DFT total energy = -14.1 eV for the cell shown
mass density = 2.13 g/cm3
E_form = 0.5722 eV/atom

abc: 5.072 5.072 5.072
angles: 109.47 109.47 109.47
Last column: magnetic moment on the atom in μB.
Fractional coordinates of all 5 atoms:
Li1 0.000 0.500 0.000  -0.01
Li2 0.000 0.000 0.500  -0.01
Li3 0.500 0.500 0.500  -0.01
Li4 0.500 0.000 0.000  -0.01
Ru1 0.000 0.000 0.000  0.81

=====

[3]
Entry from Alexandria: a relaxed structure of FeP2Ru2 (PBE).

Values from the calculation:
density of states at the Fermi level = 7.38 states/eV per cell
DFT total energy = -77.5 eV for the cell shown
mass density = 8.24 g/cm3
E_form = -0.1820 eV/atom

abc: 6.777 6.777 2.806
angles: 90.00 90.00 90.00
Last column: magnetic moment on the atom in μB.
Fractional coordinates of all 10 atoms:
Ru1 0.146 0.646 0.500  -0.01
Ru2 0.646 0.854 0.500  0.00
Ru3 0.854 0.354 0.500  -0.01
Ru4 0.354 0.146 0.500  0.00
Fe1 0.000 0.000 0.000  2.39
Fe2 0.500 0.500 0.000  2.39
P1 0.345 0.845 0.000  -0.02
P2 0.845 0.655 0.000  -0.03
P3 0.655 0.155 0.000  -0.02
P4 0.155 0.345 0.000  -0.03

=====

[4]
Entry from Alexandria: a relaxed structure of Ca2NiRh (PBE).

Values from the calculation:
density of states at the Fermi level = 3.79 states/eV per cell
DFT total energy = -18.1 eV for the cell shown
mass density = 4.34 g/cm3
E_form = -0.2487 eV/atom

abc: 4.251 4.311 5.485
angles: 66.96 90.00 90.00
Fractional coordinates of all 4 atoms:
Ni1 0.000 0.675 0.523
Ca1 0.000 0.982 0.911
Ca2 0.500 0.268 0.340
Rh1 0.500 0.575 0.727

=====

[5]
Entry from Alexandria: a relaxed structure of Y4Ag2Sn (PBE).

Values from the calculation:
density of states at the Fermi level = 8.78 states/eV per cell
DFT total energy = -37.5 eV for the cell shown
mass density = 6.00 g/cm3
E_form = -0.2810 eV/atom

abc: 5.163 5.163 8.788
angles: 72.92 72.92 60.00
Fractional coordinates of all 7 atoms:
Y1 0.870 0.870 0.390
Y2 0.130 0.130 0.610
Y3 0.616 0.616 0.150
Y4 0.384 0.384 0.850
Ag1 0.747 0.747 0.758
Ag2 0.253 0.253 0.242
Sn1 0.000 0.000 0.000

=====

[6]
Entry from Alexandria: a relaxed structure of PmPr2SmSc (PBE).

Values from the calculation:
density of states at the Fermi level = 12.69 states/eV per cell
DFT total energy = -48.8 eV for the cell shown
mass density = 6.17 g/cm3
E_form = 0.1893 eV/atom

abc: 6.615 7.985 6.340
angles: 90.00 90.00 90.00
Fractional coordinates of all 10 atoms:
Pm1 0.588 0.000 0.250
Pm2 0.412 0.000 0.750
Pr1 0.787 0.704 0.750
Pr2 0.787 0.296 0.750
Pr3 0.213 0.704 0.250
Pr4 0.213 0.296 0.250
Sm1 0.310 0.500 0.750
Sm2 0.690 0.500 0.250
Sc1 0.000 0.000 0.000
Sc2 0.000 0.000 0.500